[1]
A plane-wave DFT calculation with PBE-GGA was carried out for AcHo2MgAg4 after structural relaxation.

Computed properties:
The value obtained for the formation energy is -0.24 eV per atom. The calculated volume is 24.944 Å³ per atom. Its crystal system is trigonal. As for the total moment: 0.0 μB/f.u. The mass density comes out at 8.4 g/cm³.

Cell: 5.0697 5.0697 26.8959 Å, 90.00 90.00 120.00°
Closest atoms and distances in Å follow each position.
Space group R-3m (No. 166, hexagonal axes)
Asymmetric unit:
Ac1 0.0000 0.0000 0.0000 x3  8 Ag 3.34-3.38
Ho1 0.0000 0.0000 0.2374 x6  7 Ag 3.02-3.06
Mg1 0.0000 0.0000 0.5000 x3  2 Ag 2.79
Ag1 0.0000 0.0000 0.1243 x6  4 Ho 3.02-3.04, 3 Mg 3.14, 1 Ac 3.34, 3 Ag 3.36
Ag2 0.0000 0.0000 0.3963 x6  1 Mg 2.79, 3 Ho 3.06

[2]
A plane-wave DFT calculation with PBE-GGA was carried out for AcHoNiAg after structural relaxation.

Computed properties:
The value obtained for the formation energy is -0.18 eV per atom. The calculated volume is 24.969 Å³ per atom. Its crystal system is cubic. As for the total moment: 0.0 μB/f.u. The mass density comes out at 9.3 g/cm³.

Cell: 7.3650 7.3650 7.3650 Å, 90.00 90.00 90.00°
Closest atoms and distances in Å follow each position.
Space group F-43m (No. 216)
Asymmetric unit:
Ac1 0.0000 0.0000 0.0000 x4  4 Ni 3.19, 4 Ag 3.19
Ho1 0.0000 0.0000 0.5000 x4  4 Ag 3.19, 4 Ni 3.19
Ni1 0.2500 0.2500 0.2500 x4  4 Ho 3.19, 4 Ac 3.19
Ag1 0.2500 0.2500 0.7500 x4  4 Ac 3.19, 4 Ho 3.19

[3]
A plane-wave DFT calculation with PBE-GGA was carried out for Ac2HoAg2O6 after structural relaxation.

Computed properties:
The calculated volume is 18.030 Å³ per atom. Its crystal system is trigonal. As for the total moment: 0.6 μB/f.u. The mass density comes out at 7.8 g/cm³. As for the raw total energy: -6.3850 eV/atom.

Cell: 6.3832 6.3832 16.8615 Å, 90.00 90.00 120.00°
Closest atoms and distances in Å follow each position.
Space group R-3m (No. 166, hexagonal axes)
Asymmetric unit:
Ac1 0.0000 0.0000 0.2031 x6  3 O 2.39
Ho1 0.0000 0.0000 0.0000 x3  6 O 2.25
Ag1 0.0000 0.0000 0.4137 x6  3 O 2.13
O1 0.0498 0.5249 0.7625 x18  1 Ag 2.13, 1 Ho 2.25

[4]
A plane-wave DFT calculation with PBE-GGA was carried out for AcHoAgOs after structural relaxation.

Computed properties:
The value obtained for the formation energy is -0.06 eV per atom. The calculated volume is 24.225 Å³ per atom. Its crystal system is cubic. As for the total moment: 0.0 μB/f.u. The mass density comes out at 11.8 g/cm³.

Cell: 7.2911 7.2911 7.2911 Å, 90.00 90.00 90.00°
Closest atoms and distances in Å follow each position.
Space group F-43m (No. 216)
Asymmetric unit:
Ac1 0.0000 0.0000 0.0000 x4  4 Os 3.16, 4 Ag 3.16
Ho1 0.0000 0.0000 0.5000 x4  4 Ag 3.16, 4 Os 3.16
Ag1 0.2500 0.2500 0.2500 x4  4 Ac 3.16, 4 Ho 3.16
Os1 0.2500 0.2500 0.7500 x4  4 Ac 3.16, 4 Ho 3.16

[5]
A plane-wave DFT calculation with PBE-GGA was carried out for AcHoAgPd after structural relaxation.

Computed properties:
The value obtained for the formation energy is -0.48 eV per atom. The calculated volume is 26.019 Å³ per atom. Its crystal system is cubic. As for the total moment: 0.0 μB/f.u. The mass density comes out at 9.7 g/cm³.

Cell: 7.4669 7.4669 7.4669 Å, 90.00 90.00 90.00°
Closest atoms and distances in Å follow each position.
Space group F-43m (No. 216)
Asymmetric unit:
Ac1 0.0000 0.0000 0.0000 x4  4 Ag 3.23, 4 Pd 3.23
Ho1 0.0000 0.0000 0.5000 x4  4 Pd 3.23, 4 Ag 3.23
Ag1 0.2500 0.2500 0.2500 x4  4 Ac 3.23, 4 Ho 3.23
Pd1 0.2500 0.2500 0.7500 x4  4 Ac 3.23, 4 Ho 3.23

[6]
A plane-wave DFT calculation with PBE-GGA was carried out for AcPmHoAg after structural relaxation.

Computed properties:
The value obtained for the formation energy is 0.17 eV per atom. The calculated volume is 31.098 Å³ per atom. Its crystal system is cubic. As for the total moment: 0.0 μB/f.u. The mass density comes out at 8.6 g/cm³.

Cell: 7.9241 7.9241 7.9241 Å, 90.00 90.00 90.00°
Closest atoms and distances in Å follow each position.
Space group F-43m (No. 216)
Asymmetric unit:
Ac1 0.0000 0.0000 0.0000 x4  4 Ho 3.43, 4 Pm 3.43
Pm1 0.2500 0.2500 0.2500 x4  4 Ac 3.43, 4 Ag 3.43
Ho1 0.2500 0.2500 0.7500 x4  4 Ac 3.43, 4 Ag 3.43
Ag1 0.0000 0.0000 0.5000 x4  4 Pm 3.43, 4 Ho 3.43